No. 1
PBE-GGA SrCr3P4S12, relaxed; energy relative to the elements, uncorrected = -265 meV per atom; crystal system = trigonal; density of states at the Fermi level = 9.0 states/eV/cell; total moment = 0.47 μB/atom; density = 2.852 g/cm3
1.0
7.940 -0.072 -0.101
-1.983 7.688 -0.101
-1.983 -2.536 7.259
S Sr Cr P
12 1 3 4
Cartesian
0.296 3.863 3.529
0.404 6.658 1.506
3.569 5.766 0.266
-2.391 3.084 5.552
-1.930 5.603 3.529
1.987 -1.496 6.434
-0.763 0.227 6.791
4.736 -1.288 4.687
3.678 2.960 2.275
6.364 0.794 2.371
1.987 0.798 4.783
5.903 3.512 0.624
0.000 0.000 0.000
3.577 3.339 -0.101
2.379 -1.453 4.023
-1.983 3.194 3.135
1.987 2.540 3.529
1.987 7.030 0.297
-2.371 1.458 6.761
6.345 -0.868 3.529

No. 2
PBE-GGA MgInPb2, relaxed; crystal system = orthorhombic; density of states at the Fermi level = 1.7 states/eV/cell; energy of formation from the pure elements = -0.008 eV per atom; total moment = 0.00 μB/atom; density = 8.225 g/cm3
1.0
4.882 0.000 0.000
0.000 4.996 0.000
0.000 0.000 4.582
Pb In Mg
2 1 1
Cartesian
2.441 2.498 0.000
0.000 0.000 0.000
2.441 0.000 2.291
0.000 2.498 2.291